Record 1
Compound: Lu4InGeC2
Source: OQMD
Functional: GGA-PBE
Structure: optimized geometry

Lattice parameters (Å, degrees): 3.5033 3.5033 15.2485 90.00 90.00 120.00
Atoms (fractional coordinates):
C 0.3333 0.6667 0.2384
C 0.3333 0.6667 0.7616
Ge 0.0000 0.0000 0.0000
In 0.6667 0.3333 0.5000
Lu 0.6667 0.3333 0.1517
Lu 0.0000 0.0000 0.3229
Lu 0.0000 0.0000 0.6771
Lu 0.6667 0.3333 0.8483

Summary:
Symmetry: P-6m2
Crystal system: hexagonal
Total moment: 0.1 Bohr magnetons per cell
Raw total energy: -48.0 eV/cell

---

Record 2
Compound: Nb4InGeC2
Source: OQMD
Functional: GGA-PBE
Structure: optimized geometry

Lattice parameters (Å, degrees): 3.2206 3.2206 13.6270 90.00 90.00 120.00
Atoms (fractional coordinates):
C 0.0000 0.0000 0.2376
C 0.0000 0.0000 0.7624
Ge 0.3333 0.6667 0.0000
In 0.6667 0.3333 0.5000
Nb 0.6667 0.3333 0.1484
Nb 0.3333 0.6667 0.3236
Nb 0.3333 0.6667 0.6764
Nb 0.6667 0.3333 0.8516

Summary:
Symmetry: P-6m2
Crystal system: hexagonal
Total moment: 0.0 Bohr magnetons per cell
Raw total energy: -69.9 eV/cell

---

Record 3
Compound: Ta4InGeC2
Source: OQMD
Functional: GGA-PBE
Structure: optimized geometry

Lattice parameters (Å, degrees): 3.2021 3.2021 13.5635 90.00 90.00 120.00
Atoms (fractional coordinates):
C 0.3333 0.6667 0.2630
C 0.3333 0.6667 0.7370
Ge 0.6667 0.3333 0.5000
In 0.0000 0.0000 0.0000
Ta 0.6667 0.3333 0.1764
Ta 0.0000 0.0000 0.3518
Ta 0.0000 0.0000 0.6482
Ta 0.6667 0.3333 0.8236

Summary:
Symmetry: P-6m2
Crystal system: hexagonal
Total moment: 0.0 Bohr magnetons per cell
Raw total energy: -76.6 eV/cell